No. 1
VAsRhO6 (GGA+U, relaxed); final energy = -120.211 eV per cell; crystal system = trigonal
1.0
4.9760 0.0000 0.0000
-2.4880 4.3093 0.0000
0.0000 0.0000 8.5920
V As Rh O
2 2 2 12
Direct
0.3333 0.6667 0.2500
0.6667 0.3333 0.7500
0.6667 0.3333 0.2500
0.3333 0.6667 0.7500
0.0000 0.0000 0.0000
0.0000 0.0000 0.5000
0.6551 0.6430 0.1313
0.9879 0.3449 0.1313
0.3449 0.9879 0.6313
0.0121 0.6551 0.8687
0.3570 0.3449 0.3687
0.9879 0.6430 0.3687
0.6430 0.9879 0.8687
0.6551 0.0121 0.3687
0.0121 0.3570 0.6313
0.3570 0.0121 0.1313
0.6430 0.6551 0.6313
0.3449 0.3570 0.8687

No. 2
As2RhWO (GGA+U, relaxed); final energy = -23.514 eV per cell; crystal system = tetragonal
1.0
-1.2880 -4.3339 -0.4141
3.5230 -0.6279 -4.3850
3.3117 -1.2556 2.8405
As Rh O W
2 1 1 1
Direct
0.0000 0.0000 0.5000
0.5000 0.0000 0.0000
0.0000 0.0000 0.0000
0.5000 0.5000 0.5000
0.0000 0.5000 0.0000